## BaSc2Cu (PBE)

Data for a relaxed BaSc2Cu crystal.

Lattice parameters (Å, degrees): 3.6015 3.5988 8.4917 90.00 90.02 90.00
With the nearest neighbours (Å) after each atom.
Space group Pm (No. 6)
Inequivalent atoms, fractional coordinates:
1 Ba 0.0000 0.0000 0.0000 [1 per cell]  1 Sc 3.48, 4 Cu 3.50-3.51, 4 Ba 3.60
2 Sc 0.0021 0.0000 0.5898 [1 per cell]  4 Cu 2.76
3 Sc 0.5013 0.5000 0.3593 [1 per cell]  1 Cu 3.03, 4 Sc 3.21
4 Cu 0.5023 0.5000 0.7157 [1 per cell]  5 Sc 2.76-3.03

Results
- energy of formation (kcal/mol of atoms) = 2.2
- energy relative to the lowest polymorph listed for this composition (meV per atom) = 0
- energy (eV/atom) = -4.574
- crystal system = monoclinic
- spin magnetization (Bohr magnetons per cell) = 1.192